1.
! BeSb2Pd, relaxed, DFT PBE; values from VASP
! - calculated total energy (eV per atom) = -4.15
! - density (Mg/m³) = 6.11
&SYSTEM
  ibrav = 0, nat = 8, ntyp = 3
/
ATOMIC_SPECIES
Sb 121.76 Sb.upf
Pd 106.42 Pd.upf
Be 9.01 Be.upf
ATOMIC_POSITIONS angstrom
Sb -3.926 1.961 1.799
Sb -1.145 1.472 4.588
Sb -3.478 4.616 5.006
Sb -6.244 4.979 7.828
Pd 0.000 0.000 0.000
Pd -5.257 3.527 3.422
Be -2.745 0.352 3.164
Be -2.139 2.987 6.188
CELL_PARAMETERS angstrom
-5.863 0.892 0.398
0.373 -0.188 5.930
-1.906 5.809 3.284

***

2.
! Tm5ThSb4, relaxed, DFT PBE; values from VASP
! - calculated total energy (eV per atom) = -5.24
! - density (Mg/m³) = 8.07
&SYSTEM
  ibrav = 0, nat = 10, ntyp = 3
/
ATOMIC_SPECIES
Tm 168.93 Tm.upf
Th 232.04 Th.upf
Sb 121.76 Sb.upf
ATOMIC_POSITIONS angstrom
Tm 2.160 4.255 5.251
Tm 2.160 0.257 6.085
Tm 0.000 6.175 2.305
Tm 2.160 4.177 -0.345
Tm 0.000 2.177 3.139
Th 2.160 0.000 0.000
Sb 0.000 6.416 5.281
Sb 2.160 4.205 8.285
Sb 2.160 0.016 3.109
Sb 0.000 2.227 0.105
CELL_PARAMETERS angstrom
4.319 0.000 0.000
0.000 8.355 -0.690
-2.160 -1.923 9.079

***

3.
! KZn2Si, relaxed, DFT PBE; values from VASP
! - calculated total energy (eV per atom) = -2.00
! - density (Mg/m³) = 3.64
&SYSTEM
  ibrav = 0, nat = 4, ntyp = 3
/
ATOMIC_SPECIES
K 39.10 K.upf
Si 28.09 Si.upf
Zn 65.41 Zn.upf
ATOMIC_POSITIONS angstrom
K -0.702 -0.125 -2.901
Si -1.985 -3.175 -5.613
Zn -2.386 -5.622 -4.999
Zn -1.463 -3.527 -3.137
CELL_PARAMETERS angstrom
-0.122 2.799 -3.090
1.968 -1.568 -1.498
-4.534 -4.531 -3.926

***

4.
! CoIr2Se, relaxed, DFT PBE; values from VASP
! - calculated total energy (eV per atom) = -6.77
! - density (Mg/m³) = 15.17
&SYSTEM
  ibrav = 0, nat = 4, ntyp = 3
/
ATOMIC_SPECIES
Co 58.93 Co.upf
Ir 192.22 Ir.upf
Se 78.96 Se.upf
ATOMIC_POSITIONS angstrom
Co -13.350 -10.863 6.970
Ir -0.078 -0.063 0.041
Ir -4.421 -3.597 2.308
Se -8.724 -7.099 4.555
CELL_PARAMETERS angstrom
-6.080 -5.526 1.624
-4.844 -5.410 4.173
-6.791 -3.479 3.453

***

5.
! CuAsIrO6, relaxed, DFT PBE; values from VASP
! - calculated total energy (eV per atom) = -6.04
! - density (Mg/m³) = 7.30
&SYSTEM
  ibrav = 0, nat = 18, ntyp = 4
/
ATOMIC_SPECIES
Cu 63.55 Cu.upf
As 74.92 As.upf
Ir 192.22 Ir.upf
O 16.00 O.upf
ATOMIC_POSITIONS angstrom
Cu 0.000 0.000 0.000
Cu -2.188 0.952 3.713
As -3.457 -0.858 0.806
As -3.688 -1.412 6.058
Ir -1.500 -2.363 2.345
Ir -5.645 0.094 4.518
O -2.389 -2.403 0.593
O -4.302 -1.109 -0.866
O -2.754 -3.032 5.785
O -2.843 -1.160 7.729
O -2.635 -0.768 2.505
O -4.894 -1.895 1.462
O -5.015 -2.534 6.802
O -4.391 0.763 1.078
O -2.251 -0.375 5.401
O -2.131 0.265 0.061
O -4.511 -1.502 4.358
O -4.756 0.133 6.270
CELL_PARAMETERS angstrom
-4.320 0.172 -2.590
1.551 -4.345 2.028
-4.376 1.904 7.425

***

6.
! CsAcAgSe3, relaxed, DFT PBE; values from VASP
! - calculated total energy (eV per atom) = -4.21
! - density (Mg/m³) = 5.48
&SYSTEM
  ibrav = 0, nat = 12, ntyp = 4
/
ATOMIC_SPECIES
Cs 132.91 Cs.upf
Ac 227.00 Ac.upf
Ag 107.87 Ag.upf
Se 78.96 Se.upf
ATOMIC_POSITIONS angstrom
Cs 0.000 4.003 3.013
Cs 2.294 3.724 9.038
Ac 0.000 0.000 6.025
Ac 0.000 0.000 0.000
Ag 0.000 7.026 9.038
Ag 2.294 0.701 3.013
Se 2.294 1.982 0.701
Se 0.000 5.745 11.350
Se 0.000 5.745 6.726
Se 2.294 1.982 5.325
Se 0.000 0.737 9.038
Se 2.294 6.990 3.013
CELL_PARAMETERS angstrom
4.588 0.000 0.000
-2.294 7.727 0.000
0.000 0.000 12.051